(1)
A plane-wave DFT calculation with PBE was carried out for a relaxed CeZrFe crystal.

```
3
Lattice="3.2289 0.0000 0.0000 0.0000 3.2289 0.0000 -1.6144 -1.6144 5.8896" Properties=species:S:1:pos:R:3 pbc="T T T"
Ce 0.0000 0.0000 0.2653
Zr 0.0000 0.0000 3.5442
Fe 1.6144 1.6144 2.0800
```

=====

(2)
A plane-wave DFT calculation with PBE was carried out for a relaxed Ce3Ga11 crystal.

```
14
Lattice="-3.0533 1.4584 2.6625 -5.1313 -6.6044 1.2146 1.9653 -3.2850 7.5346" Properties=species:S:1:pos:R:3 pbc="T T T"
Ce 0.0000 0.0000 0.0000
Ce -3.1298 -6.2415 6.7926
Ce -3.0895 -2.1894 4.6191
Ga -3.7751 -6.8983 9.8937
Ga -3.0308 -4.3863 9.3713
Ga -5.5737 -7.7396 8.2919
Ga -1.5919 -3.5056 7.0575
Ga 0.0555 -2.5273 4.9294
Ga -1.5830 -4.9447 4.3746
Ga -6.2748 -5.9037 6.4823
Ga -4.6274 -4.9254 4.3542
Ga -0.6456 -0.6914 3.1197
Ga -3.1885 -4.0446 2.0404
Ga -2.4443 -1.5327 1.5179
```

=====

(3)
A plane-wave DFT calculation with PBE was carried out for a relaxed CeGa3 crystal.

```
4
Lattice="4.8782 0.0000 0.0000 2.4391 4.2247 0.0000 2.4391 1.4082 3.9831" Properties=species:S:1:pos:R:3 pbc="T T T"
Ga 0.0000 0.0000 0.0000
Ga 7.3174 4.2247 2.9873
Ga 2.4391 1.4082 0.9958
Ce 4.8782 2.8165 1.9915
```

=====

(4)
A plane-wave DFT calculation with PBE was carried out for a relaxed CeGa crystal.

```
2
Lattice="4.3062 0.0000 0.0000 2.1531 3.7293 0.0000 2.1531 1.2431 3.5160" Properties=species:S:1:pos:R:3 pbc="T T T"
Ga 0.0000 0.0000 0.0000
Ce 4.3062 2.4862 1.7580
```

=====

(5)
A plane-wave DFT calculation with PBE was carried out for a relaxed Ce5Ga3 crystal.

Properties
Energy relative to the lowest polymorph listed for this composition: 36 meV per atom

```
8
Lattice="4.4459 0.0000 0.0000 0.0000 4.4459 0.0000 -2.2230 -2.2230 9.5822" Properties=species:S:1:pos:R:3 pbc="T T T"
Ce 2.2230 2.2230 2.4168
Ce 2.2230 0.0000 9.2325
Ce 0.0000 0.0000 7.1654
Ce 2.2230 0.0000 4.7911
Ce 2.2230 0.0000 0.3497
Ga 0.0000 0.0000 2.4684
Ga 2.2230 2.2230 7.1139
Ga 0.0000 2.2230 4.7911
```

=====

(6)
A plane-wave DFT calculation with PBE was carried out for a relaxed Ce5Ga crystal.

Properties
Energy relative to the lowest polymorph listed for this composition: 0 meV per atom

```
6
Lattice="-3.9551 2.7755 -0.0191 -1.6689 -2.4003 -3.2024 -2.1381 -3.0033 6.3009" Properties=species:S:1:pos:R:3 pbc="T T T"
Ga 0.0000 0.0000 0.0000
Ce -1.8782 -2.6761 0.0490
Ce -1.9288 -2.7275 3.0495
Ce -2.8120 0.1876 -1.6108
Ce -2.8705 0.1251 1.4022
Ce -4.8917 -2.7532 1.6772
```

=====

(7)
A plane-wave DFT calculation with PBE was carried out for a relaxed CeGa2 crystal.

```
6
Lattice="5.5785 0.0000 0.0000 2.7893 4.8312 0.0000 2.7893 1.6104 4.5549" Properties=species:S:1:pos:R:3 pbc="T T T"
Ga 4.1839 4.0260 2.8468
Ga 5.5785 1.6104 2.8468
Ga 6.9732 4.0260 2.8468
Ga 5.5785 3.2208 0.5694
Ce 0.0000 0.0000 0.0000
Ce 2.7893 1.6104 1.1387
```

=====

(8)
A plane-wave DFT calculation with PBE was carried out for a relaxed Ce4Ga crystal.

Properties
Energy relative to the lowest polymorph listed for this composition: 0 meV per atom

```
10
Lattice="-2.2755 -2.9539 -2.7979 4.3240 -2.2766 2.7629 -12.6436 5.0232 4.9888" Properties=species:S:1:pos:R:3 pbc="T T T"
Ce -5.9001 0.0510 2.8038
Ce -2.0272 -2.3840 2.2193
Ce -9.2414 2.9797 6.3159
Ce -9.0684 -0.0510 1.6086
Ce -2.7474 -2.5631 -0.8848
Ce 0.4215 -2.4611 0.3100
Ce -8.3481 0.1279 4.7127
Ce -2.9198 0.4684 3.8213
Ga -9.7327 2.6539 3.1782
Ga -3.4112 0.1419 0.6844
```

=====

Q: Which formation enthalpy at 0 K values were calculated for the entries above? A: 0.057 -0.457 -0.331 -0.091 -0.319 -0.137 -0.534 -0.193, in eV/atom.